# 1
# Y4Sb3W2N3 (GGA-PBE, optimized geometry)
data_Y4Sb3W2N3
_cell_length_a 10.648
_cell_length_b 6.196
_cell_length_c 13.803
_cell_angle_alpha 90.00
_cell_angle_beta 104.10
_cell_angle_gamma 90.00
_space_group_name_H-M_alt 'C 1 2/c 1'
_space_group_IT_number 15
loop_
_space_group_symop_operation_xyz
'x,y,z'
'-x,-y,-z'
'-x,y,-z+1/2'
'x,-y,z+1/2'
'x+1/2,y+1/2,z'
'-x+1/2,-y+1/2,-z'
'-x+1/2,y+1/2,-z+1/2'
'x+1/2,-y+1/2,z+1/2'
loop_
_atom_site_label
_atom_site_type_symbol
_atom_site_fract_x
_atom_site_fract_y
_atom_site_fract_z
Y1 Y 0.115 0.088 0.093
Y2 Y 0.221 0.077 0.407
Sb1 Sb 0.000 0.127 0.750
Sb2 Sb 0.147 0.432 0.252
W1 W 0.048 0.431 0.927
N1 N 0.083 0.251 0.500
N2 N 0.250 0.250 0.000
# * E: -8.10 eV per atom


# 2
# Zr4ZnSbN2 (GGA-PBE, optimized geometry)
data_Zr4ZnSbN2
_cell_length_a 3.3569
_cell_length_b 3.3569
_cell_length_c 13.8830
_cell_angle_alpha 90.00
_cell_angle_beta 90.00
_cell_angle_gamma 120.00
_space_group_name_H-M_alt 'P -6 m 2'
_space_group_IT_number 187
_space_group_name_Hall 'P -6 2'
loop_
_atom_site_label
_atom_site_type_symbol
_atom_site_fract_x
_atom_site_fract_y
_atom_site_fract_z
Zr1 Zr 0.0000 0.0000 0.1601
Zr2 Zr 0.6667 0.3333 0.3363
Zn1 Zn 0.6667 0.3333 0.0000
Sb1 Sb 0.0000 0.0000 0.5000
N1 N 0.3333 0.6667 0.2450
# * E: -8.04 eV per atom


# 3
# Zr2SbN (GGA-PBE, optimized geometry)
data_Zr2SbN
_cell_length_a 3.477
_cell_length_b 6.016
_cell_length_c 13.444
_cell_angle_alpha 90.00
_cell_angle_beta 90.00
_cell_angle_gamma 90.00
_space_group_name_H-M_alt 'C m c m'
_space_group_IT_number 63
_space_group_name_Hall '-C 2c 2'
loop_
_atom_site_label
_atom_site_type_symbol
_atom_site_fract_x
_atom_site_fract_y
_atom_site_fract_z
Zr1 Zr 0.000 0.166 0.086
Sb1 Sb 0.000 0.168 0.750
N1 N 0.000 0.500 0.000
# * E: -8.49 eV per atom


# 4
# Zr3SbN2 (GGA-PBE, optimized geometry)
data_Zr3SbN2
_cell_length_a 3.3227
_cell_length_b 3.3227
_cell_length_c 19.5345
_cell_angle_alpha 90.00
_cell_angle_beta 90.00
_cell_angle_gamma 120.00
_space_group_name_H-M_alt 'P 63/m m c'
_space_group_IT_number 194
_space_group_name_Hall '-P 6c 2c'
loop_
_atom_site_label
_atom_site_type_symbol
_atom_site_fract_x
_atom_site_fract_y
_atom_site_fract_z
Zr1 Zr 0.0000 0.0000 0.0000
Zr2 Zr 0.3333 0.6667 0.1313
Sb1 Sb 0.0000 0.0000 0.2500
N1 N 0.3333 0.6667 0.5669
# * E: -8.99 eV per atom


# 5
# Zr2SbN (GGA-PBE, optimized geometry)
data_Zr2SbN
_cell_length_a 3.4680
_cell_length_b 3.4680
_cell_length_c 13.4743
_cell_angle_alpha 90.00
_cell_angle_beta 90.00
_cell_angle_gamma 120.00
_space_group_name_H-M_alt 'P 63/m m c'
_space_group_IT_number 194
_space_group_name_Hall '-P 6c 2c'
loop_
_atom_site_label
_atom_site_type_symbol
_atom_site_fract_x
_atom_site_fract_y
_atom_site_fract_z
Zr1 Zr 0.3333 0.6667 0.0863
Sb1 Sb 0.3333 0.6667 0.7500
N1 N 0.0000 0.0000 0.0000
# * E: -8.49 eV per atom


# 6
# Zr4SbN3 (GGA-PBE, optimized geometry)
data_Zr4SbN3
_cell_length_a 3.3190
_cell_length_b 3.3190
_cell_length_c 24.6538
_cell_angle_alpha 90.00
_cell_angle_beta 90.00
_cell_angle_gamma 120.00
_space_group_name_H-M_alt 'P 63/m m c'
_space_group_IT_number 194
_space_group_name_Hall '-P 6c 2c'
loop_
_atom_site_label
_atom_site_type_symbol
_atom_site_fract_x
_atom_site_fract_y
_atom_site_fract_z
Zr1 Zr 0.0000 0.0000 0.1566
Zr2 Zr 0.3333 0.6667 0.0546
Sb1 Sb 0.3333 0.6667 0.2500
N1 N 0.0000 0.0000 0.0000
N2 N 0.3333 0.6667 0.6056
# * E: -9.27 eV per atom